Here is a relaxed structure of AsRuSe2S from Alexandria via LeMat-Bulk. Energies are from PBE.

The structure in POSCAR format:
```
AsRuSe2S
1.0
4.814 0.000 0.000
0.000 4.814 0.000
0.000 0.000 4.800
Ru As S Se
1 1 1 2
direct
0.000 0.000 0.000 Ru
0.000 0.000 0.500 As
0.500 0.500 0.500 S
0.000 0.500 0.000 Se
0.500 0.000 0.000 Se
```

The value obtained for the formation energy from raw total energies is 0.6822 eV/atom. Its symmetry is P4/mmm, No. 123. As for the polymorph energy (0 for the lowest one): 198 meV/atom.